[1]
First-principles (meta-GGA SCAN) data for a crystal of AlPBr2 relaxed with PBEsol, as listed in the Alexandria database.

Output
- Formation energy from raw total energies: 32 kJ per mole of atoms

a = 3.4041 Å, b = 3.4041 Å, c = 8.8763 Å
α = 78.95°, β = 78.95°, γ = 60.00°
With the nearest neighbours (Å) after each atom.
Element x y z (fractional)
P  0.5000  0.5000  0.5000  6 Br 3.31, 6 P 3.40
Al  0.0000  0.0000  0.0000  6 Br 2.57
Br  0.2694  0.2694  0.1917  3 Al 2.57
Br  0.7306  0.7306  0.8083  3 Al 2.57


[2]
First-principles (meta-GGA SCAN) data for a crystal of TaAl2PBr relaxed with PBEsol, as listed in the Alexandria database.

Output
- Formation energy from raw total energies: 166 kJ per mole of atoms

a = 4.6802 Å, b = 4.8820 Å, c = 4.8820 Å
α = 90.00°, β = 90.00°, γ = 90.00°
With the nearest neighbours (Å) after each atom.
Element x y z (fractional)
P  0.5000  0.5000  0.5000  8 Al 3.38, 4 Ta 3.45
Al  0.0000  0.0000  0.5000  2 Br 2.44
Al  0.0000  0.5000  0.0000  2 Br 2.44
Br  0.0000  0.0000  0.0000  2 Ta 2.34, 4 Al 2.44
Ta  0.5000  0.0000  0.0000  2 Br 2.34


[3]
First-principles (meta-GGA SCAN) data for a crystal of AlPbBr2 relaxed with PBEsol, as listed in the Alexandria database.

Output
- Formation energy from raw total energies: -11 kJ per mole of atoms

a = 5.2658 Å, b = 5.2658 Å, c = 5.2658 Å
α = 60.00°, β = 60.00°, γ = 60.00°
With the nearest neighbours (Å) after each atom.
Element x y z (fractional)
Pb  0.5000  0.5000  0.5000  8 Br 3.22
Al  0.0000  0.0000  0.0000  8 Br 3.22
Br  0.2500  0.2500  0.2500  4 Pb 3.22, 4 Al 3.22
Br  0.7500  0.7500  0.7500  4 Pb 3.22, 4 Al 3.22


[4]
First-principles (meta-GGA SCAN) data for a crystal of AlPbBr4 relaxed with PBEsol, as listed in the Alexandria database.

Output
- Formation energy from raw total energies: 38 kJ per mole of atoms

a = 6.2307 Å, b = 6.2307 Å, c = 6.2307 Å
α = 60.00°, β = 60.00°, γ = 60.00°
With the nearest neighbours (Å) after each atom.
Element x y z (fractional)
Pb  0.7500  0.7500  0.7500  12 Br 3.65, 4 Al 3.82
Al  0.0000  0.0000  0.0000  12 Br 3.65, 4 Pb 3.82
Br  0.3748  0.3748  0.3748  6 Br 3.11-3.12
Br  0.3748  0.3748  0.8755  6 Br 3.11-3.12
Br  0.8755  0.3748  0.3748  6 Br 3.11-3.12
Br  0.3748  0.8755  0.3748  6 Br 3.11-3.12


Please write out number 1 again, unchanged.
First-principles (meta-GGA SCAN) data for a crystal of AlPBr2 relaxed with PBEsol, as listed in the Alexandria database.

Output
- Formation energy from raw total energies: 32 kJ per mole of atoms

a = 3.4041 Å, b = 3.4041 Å, c = 8.8763 Å
α = 78.95°, β = 78.95°, γ = 60.00°
With the nearest neighbours (Å) after each atom.
Element x y z (fractional)
P  0.5000  0.5000  0.5000  6 Br 3.31, 6 P 3.40
Al  0.0000  0.0000  0.0000  6 Br 2.57
Br  0.2694  0.2694  0.1917  3 Al 2.57
Br  0.7306  0.7306  0.8083  3 Al 2.57